DFT (PBE-GGA) results for crystalline RbBaAu3 at its relaxed geometry.

```
data_RbBaAu3
_chemical_formula_sum 'Rb4 Ba4 Au12'
_symmetry_space_group_name_H-M 'C m c m'
_symmetry_Int_Tables_number 63
_symmetry_space_group_name_Hall '-C 2c 2'
_cell_length_a 4.399
_cell_length_b 29.785
_cell_length_c 4.934
_cell_angle_alpha 90.00
_cell_angle_beta 90.00
_cell_angle_gamma 90.00
loop_
_atom_site_label
_atom_site_type_symbol
_atom_site_fract_x
_atom_site_fract_y
_atom_site_fract_z
Rb1 Rb 0.000 0.206 0.250
Ba1 Ba 0.000 0.071 0.750
Au1 Au 0.000 0.337 0.250
Au2 Au 0.000 0.384 0.750
Au3 Au 0.000 0.478 0.750
```

Results
- Uncorrected energy: -61.66 eV for the cell shown
- Excess energy over the best structure of this formula in the dataset: 0.00 kJ/mol of atoms
- Calculated formation energy: -0.54 eV/atom
- Magnetic moment: 0.00 μB/atom

DFT (PBE-GGA) results for crystalline RbBa8Au2 at its relaxed geometry.

```
data_RbBa8Au2
_chemical_formula_sum 'Rb2 Ba16 Au4'
_symmetry_space_group_name_H-M 'C 1 2/m 1'
_symmetry_Int_Tables_number 12
_symmetry_space_group_name_Hall '-C 2y'
_cell_length_a 19.258
_cell_length_b 8.574
_cell_length_c 7.662
_cell_angle_alpha 90.00
_cell_angle_beta 97.30
_cell_angle_gamma 90.00
loop_
_atom_site_label
_atom_site_type_symbol
_atom_site_fract_x
_atom_site_fract_y
_atom_site_fract_z
Rb1 Rb 0.000 0.000 0.000
Ba1 Ba 0.079 0.500 0.828
Ba2 Ba 0.142 0.250 0.390
Ba3 Ba 0.212 0.000 0.908
Au1 Au 0.229 0.500 0.664
```

Results
- Uncorrected energy: -50.49 eV for the cell shown
- Calculated formation energy: -0.21 eV/atom
- Magnetic moment: 0.00 μB/atom

DFT (PBE-GGA) results for crystalline RbBa2Au at its relaxed geometry.

```
data_RbBa2Au
_chemical_formula_sum 'Rb3 Ba6 Au3'
_symmetry_space_group_name_H-M 'R -3 m'
_symmetry_Int_Tables_number 166
_symmetry_space_group_name_Hall '-R 3 2"'
_cell_length_a 4.7945
_cell_length_b 4.7945
_cell_length_c 38.3324
_cell_angle_alpha 90.00
_cell_angle_beta 90.00
_cell_angle_gamma 120.00
loop_
_atom_site_label
_atom_site_type_symbol
_atom_site_fract_x
_atom_site_fract_y
_atom_site_fract_z
Rb1 Rb 0.0000 0.0000 0.0000
Ba1 Ba 0.0000 0.0000 0.1207
Au1 Au 0.0000 0.0000 0.5000
```

Results
- Uncorrected energy: -28.25 eV for the cell shown
- Excess energy over the best structure of this formula in the dataset: 3.62 kJ/mol of atoms
- Calculated formation energy: -0.33 eV/atom
- Magnetic moment: 0.00 μB/atom

DFT (PBE-GGA) results for crystalline RbBa2Au at its relaxed geometry.

```
data_RbBa2Au
_chemical_formula_sum 'Rb4 Ba8 Au4'
_symmetry_space_group_name_H-M 'I -4 2 d'
_symmetry_Int_Tables_number 122
_symmetry_space_group_name_Hall 'I -4 2bw'
_cell_length_a 10.807
_cell_length_b 10.807
_cell_length_c 7.818
_cell_angle_alpha 90.00
_cell_angle_beta 90.00
_cell_angle_gamma 90.00
loop_
_atom_site_label
_atom_site_type_symbol
_atom_site_fract_x
_atom_site_fract_y
_atom_site_fract_z
Rb1 Rb 0.000 0.000 0.000
Ba1 Ba 0.137 0.250 0.625
Au1 Au 0.000 0.000 0.500
```

Results
- Uncorrected energy: -35.16 eV for the cell shown
- Excess energy over the best structure of this formula in the dataset: 18.74 kJ/mol of atoms
- Calculated formation energy: -0.18 eV/atom
- Magnetic moment: 0.00 μB/atom

DFT (PBE-GGA) results for crystalline RbBa4Au at its relaxed geometry.

```
data_RbBa4Au
_chemical_formula_sum 'Rb4 Ba16 Au4'
_symmetry_space_group_name_H-M 'C m c m'
_symmetry_Int_Tables_number 63
_symmetry_space_group_name_Hall '-C 2c 2'
_cell_length_a 6.851
_cell_length_b 23.219
_cell_length_c 9.231
_cell_angle_alpha 90.00
_cell_angle_beta 90.00
_cell_angle_gamma 90.00
loop_
_atom_site_label
_atom_site_type_symbol
_atom_site_fract_x
_atom_site_fract_y
_atom_site_fract_z
Rb1 Rb 0.000 0.105 0.250
Ba1 Ba 0.000 0.111 0.750
Ba2 Ba 0.000 0.304 0.001
Ba3 Ba 0.000 0.500 0.000
Au1 Au 0.000 0.401 0.250
```

Results
- Uncorrected energy: -52.32 eV for the cell shown
- Calculated formation energy: -0.19 eV/atom
- Magnetic moment: 0.00 μB/atom

DFT (PBE-GGA) results for crystalline RbBa2Au at its relaxed geometry.

```
data_RbBa2Au
_chemical_formula_sum 'Rb3 Ba6 Au3'
_symmetry_space_group_name_H-M 'R 3 m'
_symmetry_Int_Tables_number 160
_symmetry_space_group_name_Hall 'R 3 -2"'
_cell_length_a 4.8516
_cell_length_b 4.8516
_cell_length_c 35.0769
_cell_angle_alpha 90.00
_cell_angle_beta 90.00
_cell_angle_gamma 120.00
loop_
_atom_site_label
_atom_site_type_symbol
_atom_site_fract_x
_atom_site_fract_y
_atom_site_fract_z
Rb1 Rb 0.0000 0.0000 0.0000
Ba1 Ba 0.0000 0.0000 0.5491
Ba2 Ba 0.0000 0.0000 0.7832
Au1 Au 0.0000 0.0000 0.1661
```

Results
- Uncorrected energy: -28.70 eV for the cell shown
- Excess energy over the best structure of this formula in the dataset: 0.00 kJ/mol of atoms
- Calculated formation energy: -0.37 eV/atom
- Magnetic moment: 0.00 μB/atom